A relaxed CrAgAu2 crystal, computed with PBE.

Output
E_form, eV/atom: 0.193
Final energy, eV/cell: -18.3
Theoretical density, kg/m³: 13075
Crystal system: trigonal
Space group: No. 160

The structure in extended XYZ format:
```
4
Lattice="1.491 0.861 9.137 -1.491 0.861 9.137 0.000 -1.721 9.137" Properties=species:S:1:pos:R:3 pbc="T T T"
Cr 0.000 0.000 0.000
Ag 0.000 0.000 4.574
Au 0.000 0.000 11.301
Au 0.000 0.000 16.113
```

***

A relaxed Sm5AlCd2 crystal, computed with PBE.

Output
Offset from the most stable computed form, kJ/mol of atoms: 0.0
E_form, eV/atom: -0.229
Final energy, eV/cell: -62.0
Theoretical density, kg/m³: 7227
Crystal system: orthorhombic
Space group: No. 55

The structure in extended XYZ format:
```
16
Lattice="6.679 0.000 0.000 0.000 12.900 0.000 0.000 0.000 5.352" Properties=species:S:1:pos:R:3 pbc="T T T"
Sm 0.000 0.000 0.000
Sm 0.975 5.066 2.676
Sm 1.056 9.315 0.000
Sm 2.284 2.865 0.000
Sm 2.365 11.517 2.676
Sm 3.340 6.450 0.000
Sm 4.315 1.384 2.676
Sm 4.396 10.035 0.000
Sm 5.623 3.585 0.000
Sm 5.704 7.834 2.676
Al 0.000 6.450 0.000
Al 3.340 0.000 0.000
Cd 0.824 1.758 2.676
Cd 2.516 8.208 2.676
Cd 4.163 4.692 2.676
Cd 5.856 11.143 2.676
```

***

A relaxed GaFePb2N crystal, computed with PBE.

Output
Final energy, eV/cell: -19.2
Theoretical density, kg/m³: 6738
Crystal system: tetragonal
Energy relative to the elements, uncorrected, eV per atom: 1.600
Space group: No. 123

The structure in extended XYZ format:
```
5
Lattice="5.452 0.000 0.000 0.000 5.452 0.000 0.000 0.000 4.593" Properties=species:S:1:pos:R:3 pbc="T T T"
Ga 0.000 0.000 0.000
Fe 0.000 0.000 2.296
Pb 0.000 2.726 0.000
Pb 2.726 0.000 0.000
N 2.726 2.726 2.296
```

***

A relaxed Mn2BeTc crystal, computed with PBE.

Output
E_form, eV/atom: 0.089
Final energy, eV/cell: -32.1
Theoretical density, kg/m³: 7756
Crystal system: monoclinic
Space group: No. 12

The structure in extended XYZ format:
```
4
Lattice="2.442 -4.072 0.000 2.442 4.072 0.000 -0.965 0.000 2.335" Properties=species:S:1:pos:R:3 pbc="T T T"
Mn 1.221 2.036 0.000
Mn 1.221 -2.036 0.000
Be -0.482 0.000 1.168
Tc 1.959 0.000 1.168
```

***

A relaxed Ce6IrOs2 crystal, computed with PBE.

Output
Offset from the most stable computed form, kJ/mol of atoms: 8.0
E_form, eV/atom: -0.231
Final energy, eV/cell: -138.0
Theoretical density, kg/m³: 10290
Crystal system: monoclinic
Space group: No. 14

The structure in extended XYZ format:
```
18
Lattice="6.505 0.000 0.000 0.000 7.201 0.000 -6.090 0.000 9.738" Properties=species:S:1:pos:R:3 pbc="T T T"
Ce -2.072 1.352 4.188
Ce -5.117 2.249 9.058
Ce -0.908 4.707 4.287
Ce -3.954 6.095 9.156
Ce 1.186 0.420 2.306
Ce -1.859 3.181 7.175
Ce 2.273 4.021 2.563
Ce -0.772 6.781 7.432
Ce 4.368 1.106 0.582
Ce 1.323 2.494 5.451
Ce 5.532 4.952 0.681
Ce 2.487 5.850 5.550
Ir 0.207 0.000 4.869
Ir 3.252 3.601 0.000
Os -3.276 0.860 7.079
Os -0.231 2.741 2.210
Os 0.646 4.460 7.528
Os 3.691 6.342 2.659
```

***

A relaxed BaTe2RhN crystal, computed with PBE.

Output
Offset from the most stable computed form, kJ/mol of atoms: 0.0
Final energy, eV/cell: -25.4
Theoretical density, kg/m³: 6545
Crystal system: tetragonal
Energy relative to the elements, uncorrected, eV per atom: -0.307
Space group: No. 123

The structure in extended XYZ format:
```
5
Lattice="5.856 0.000 0.000 0.000 5.856 0.000 0.000 0.000 3.769" Properties=species:S:1:pos:R:3 pbc="T T T"
Ba 0.000 0.000 0.000
Te 0.000 2.928 1.885
Te 2.928 0.000 1.885
Rh 2.928 2.928 1.885
N 2.928 2.928 0.000
```